# 1
KYSeS2: relaxed, PBE.

Output
Raw formation energy in eV/atom: -0.2447

Cell lengths 5.5111, 5.0880, 5.5111 Å; angles 90.00, 90.00, 90.00 degrees
Fractional coordinates of all 5 atoms:
Y1 0.0000 0.5000 0.0000
K1 0.5000 0.5000 0.5000
S1 0.0000 0.0000 0.5000
S2 0.5000 0.0000 0.0000
Se1 0.0000 0.0000 0.0000

# 2
CsCd3H: relaxed, PBE.

Output
Polymorph energy (0 for the lowest one) in eV per atom: 0.000

Cell lengths 5.3753, 5.3753, 5.3753 Å; angles 90.00, 90.00, 90.00 degrees
Fractional coordinates of all 5 atoms:
Cs1 0.5000 0.5000 0.5000
H1 0.0000 0.0000 0.0000
Cd1 0.0000 0.5000 0.0000
Cd2 0.0000 0.0000 0.5000
Cd3 0.5000 0.0000 0.0000

# 3
KCrIn3: relaxed, PBE.

Output
Polymorph energy (0 for the lowest one) in eV per atom: 0.000
Energy relative to the elements in eV per atom: 0.213

Cell lengths 5.1899, 5.1899, 5.1899 Å; angles 90.00, 90.00, 90.00 degrees
Fractional coordinates of all 5 atoms:
Cr1 0.0000 0.0000 0.0000
K1 0.5000 0.5000 0.5000
In1 0.0000 0.5000 0.0000
In2 0.0000 0.0000 0.5000
In3 0.5000 0.0000 0.0000

Number 1: calculated density 2.91 g cm⁻³. Number 2: calculated density 5.04 g cm⁻³. Number 3: calculated density 5.17 g cm⁻³.